No. 1
Entry from Alexandria: NaLaTmTe3 after structural relaxation (GGA-PBE).

Total DFT energy (no corrections): -4.5719 eV/atom
N(E_F): 3.24 states/eV/f.u.
Crystal system: monoclinic
Uncorrected formation energy: -1.215 eV/atom

Cell lengths 4.4683, 8.7183, 9.9377 Å; angles 106.36, 90.00, 90.00 degrees
Closest atoms and distances in Å follow each position.
Fractional coordinates of all 12 atoms:
Na 0.2500 0.0942 0.5837  4 Te 2.95-3.12, 2 Na 2.99
Na 0.7500 0.9058 0.4163  4 Te 2.95-3.12, 2 Na 2.99
La 0.2500 0.2080 0.2384  7 Te 3.26-3.43
La 0.7500 0.7920 0.7616  7 Te 3.26-3.43
Tm 0.2500 0.6773 0.1606  6 Te 3.04-3.22
Tm 0.7500 0.3227 0.8394  6 Te 3.04-3.22
Te 0.7500 0.9100 0.1208  1 Na 2.95, 2 Tm 3.12
Te 0.2500 0.0900 0.8792  1 Na 2.95, 2 Tm 3.12
Te 0.2500 0.7209 0.4937  3 Na 2.98-3.12, 1 Tm 3.22
Te 0.7500 0.2791 0.5063  3 Na 2.98-3.12, 1 Tm 3.22
Te 0.7500 0.4401 0.1594  3 Tm 3.04-3.05, 2 La 3.26
Te 0.2500 0.5599 0.8406  3 Tm 3.04-3.05, 2 La 3.26


No. 2
Entry from Alexandria: NaLa4Tm3Te8 after structural relaxation (GGA-PBE).

Total DFT energy (no corrections): -5.1213 eV/atom
N(E_F): 10.15 states/eV/f.u.
Crystal system: trigonal
Uncorrected formation energy: -1.398 eV/atom

Cell lengths 8.8902, 8.9624, 8.8900 Å; angles 119.73, 120.00, 90.00 degrees
Closest atoms and distances in Å follow each position.
Fractional coordinates of all 16 atoms:
Na 0.0000 0.5000 0.0000  6 Te 3.09
La 0.5000 0.0000 0.0000  6 Te 3.23
La 0.5000 0.0000 0.5000  6 Te 3.25
La 0.0000 0.0000 0.0000  6 Te 3.25
La 0.0000 0.0000 0.5000  6 Te 3.25
Tm 0.5000 0.5000 0.0000  6 Te 3.06-3.07
Tm 0.5000 0.5000 0.5000  6 Te 3.06-3.07
Tm 0.0000 0.5000 0.5000  6 Te 3.06-3.07
Te 0.2447 0.7301 0.9854  2 Tm 3.06, 1 Na 3.09, 3 La 3.23-3.25
Te 0.2447 0.7301 0.4894  2 Tm 3.06, 1 Na 3.09, 3 La 3.23-3.25
Te 0.2570 0.2709 0.5139  3 Tm 3.07, 3 La 3.25
Te 0.7408 0.7301 0.9854  2 Tm 3.06, 1 Na 3.09, 3 La 3.23-3.25
Te 0.2592 0.2699 0.0146  2 Tm 3.06, 1 Na 3.09, 3 La 3.23-3.25
Te 0.7430 0.7291 0.4861  3 Tm 3.07, 3 La 3.25
Te 0.7553 0.2699 0.5106  2 Tm 3.06, 1 Na 3.09, 3 La 3.23-3.25
Te 0.7553 0.2699 0.0146  2 Tm 3.06, 1 Na 3.09, 3 La 3.23-3.25


No. 3
Entry from Alexandria: Na2La3TmTe6 after structural relaxation (GGA-PBE).

Total DFT energy (no corrections): -4.7988 eV/atom
N(E_F): 4.61 states/eV/f.u.
Crystal system: monoclinic
Uncorrected formation energy: -1.404 eV/atom

Cell lengths 7.8589, 7.8589, 7.7975 Å; angles 99.64, 99.64, 119.90 degrees
Closest atoms and distances in Å follow each position.
Fractional coordinates of all 12 atoms:
Na 0.3354 0.6646 0.0000  6 Te 3.17-3.20
Na 0.6646 0.3354 0.0000  6 Te 3.17-3.20
La 0.1717 0.8283 0.5000  6 Te 3.23-3.27
La 0.8283 0.1717 0.5000  6 Te 3.23-3.27
La 0.5000 0.5000 0.5000  6 Te 3.23-3.29
Tm 0.0000 0.0000 0.0000  6 Te 3.09-3.11
Te 0.9212 0.5970 0.7634  1 Tm 3.09, 2 Na 3.17-3.20, 3 La 3.23-3.27
Te 0.7589 0.7589 0.2442  1 Tm 3.11, 2 Na 3.19, 3 La 3.24-3.29
Te 0.0788 0.4030 0.2366  1 Tm 3.09, 2 Na 3.17-3.20, 3 La 3.23-3.27
Te 0.5970 0.9212 0.7634  1 Tm 3.09, 2 Na 3.17-3.20, 3 La 3.23-3.27
Te 0.2411 0.2411 0.7558  1 Tm 3.11, 2 Na 3.19, 3 La 3.24-3.29
Te 0.4030 0.0788 0.2366  1 Tm 3.09, 2 Na 3.17-3.20, 3 La 3.23-3.27